Entry 1:
A plane-wave DFT calculation with SCAN was carried out for a crystal of AlTcSeBr2 relaxed with PBEsol.

a b c (Å): 4.9120 4.9120 4.9957
angles (deg): 90.00 90.00 90.00
Closest atoms and distances in Å follow each position.
Atoms (fractional coordinates):
Al 0.0000 0.0000 0.0000  4 Br 2.46, 2 Se 2.50
Tc 0.5000 0.5000 0.5000  4 Se 3.47, 8 Br 3.50
Se 0.0000 0.0000 0.5000  2 Al 2.50
Br 0.0000 0.5000 0.0000  2 Al 2.46
Br 0.5000 0.0000 0.0000  2 Al 2.46

Computed properties:
**Symmetry**: P4/mmm, No. 123
**Raw formation energy**: 146 kJ/mol of formula units

Entry 2:
A plane-wave DFT calculation with SCAN was carried out for a crystal of KMnIn relaxed with PBEsol.

a b c (Å): 7.2357 7.2357 7.2357
angles (deg): 90.00 90.00 90.00
Closest atoms and distances in Å follow each position.
Atoms (fractional coordinates):
K 0.0000 0.0000 0.0000  4 In 3.13
K 0.0000 0.5000 0.5000  4 In 3.13
K 0.5000 0.0000 0.5000  4 In 3.13
K 0.5000 0.5000 0.0000  4 In 3.13
Mn 0.0000 0.0000 0.5000  4 In 3.13
Mn 0.0000 0.5000 0.0000  4 In 3.13
Mn 0.5000 0.0000 0.0000  4 In 3.13
Mn 0.5000 0.5000 0.5000  4 In 3.13
In 0.2500 0.2500 0.2500  4 K 3.13, 4 Mn 3.13
In 0.2500 0.7500 0.7500  4 K 3.13, 4 Mn 3.13
In 0.7500 0.2500 0.7500  4 K 3.13, 4 Mn 3.13
In 0.7500 0.7500 0.2500  4 K 3.13, 4 Mn 3.13

Computed properties:
**Symmetry**: F-43m, No. 216
**Formation energy**: 482 meV/atom

Entry 3:
A plane-wave DFT calculation with SCAN was carried out for a crystal of TeAsPN2 relaxed with PBEsol.

a b c (Å): 3.6837 3.6837 6.7132
angles (deg): 90.00 90.00 90.00
Closest atoms and distances in Å follow each position.
Atoms (fractional coordinates):
Te 0.0000 0.0000 0.0000  4 P 2.60
As 0.0000 0.0000 0.5000  4 N 1.84
P 0.5000 0.5000 0.0000  4 Te 2.60
N 0.0000 0.5000 0.5000  2 As 1.84
N 0.5000 0.0000 0.5000  2 As 1.84

Computed properties:
**Polymorph energy (0 for the lowest one)**: 0.237 eV per atom
**Symmetry**: P4/mmm, No. 123
**Raw formation energy**: 676 kJ/mol of formula units

One value per record, in order, for total magnetic moment: 5.03, 15.59, 1.16 Bohr magnetons per cell.
One value per record, in order, for energy: -100.3, -234.1, -79.4 eV per cell.